Computed, not measured: a relaxed structure of Ti5Ga4Pd at the PBE-GGA level of DFT.

Values from the calculation:
- Density: 6.1 g/cm³
- Energy relative to the elements: -0.1928 eV per atom
- Relative energy among the computed polymorphs: 198 meV/atom
- Total energy: -0.2157 hartree per atom
- Volume: 171.4 Å³/cell

CIF file:
```
data_Ti5Ga4Pd
_cell_length_a 5.3438
_cell_length_b 6.2622
_cell_length_c 6.2622
_cell_angle_alpha 79.51
_cell_angle_beta 64.74
_cell_angle_gamma 64.74
_symmetry_space_group_name_H-M 'P 1'
_symmetry_Int_Tables_number 1
_symmetry_space_group_name_Hall 'P 1'
loop_
_atom_site_label
_atom_site_fract_x
_atom_site_fract_y
_atom_site_fract_z
Pd1 0.1956 0.0000 0.0000
Ga1 0.3501 0.3616 0.8364
Ti1 0.7109 0.0000 0.0000
Ti2 0.0280 0.6108 0.2370
Ti3 0.2649 0.7630 0.6108
Ti4 0.8757 0.3892 0.7630
Ti5 0.6387 0.2370 0.3892
Ga2 0.5481 0.6384 0.1636
Ga3 0.1865 0.1636 0.3616
Ga4 0.7117 0.8364 0.6384
```